<a>
A plane-wave DFT calculation with PBE-GGA was carried out for a geometry-optimized HPdS2Cl structure.

Lattice parameters (Å, degrees): 4.697 4.697 5.102 90.00 90.00 90.00
Site moments in Bohr magnetons follow the coordinates.
Fractional coordinates of all 5 atoms:
H 0.500 0.500 0.500  0.38
S 0.000 0.500 0.000  0.67
S 0.500 0.000 0.000  0.67
Pd 0.000 0.000 0.000  0.26
Cl 0.000 0.000 0.500  0.12

## Properties
N(E_F)   2.3 states/eV per cell
Density   3.05 g/cm3

---

<b>
A plane-wave DFT calculation with PBE-GGA was carried out for a geometry-optimized HPdS2Cl structure.

Lattice parameters (Å, degrees): 3.562 3.562 7.448 90.00 90.00 90.00
Site moments in Bohr magnetons follow the coordinates.
Fractional coordinates of all 5 atoms:
H 0.000 0.000 0.000  0.00
S 0.000 0.500 0.000  0.00
S 0.500 0.000 0.000  0.00
Pd 0.500 0.500 0.500  0.26
Cl 0.000 0.000 0.500  0.03

## Properties
N(E_F)   3.6 states/eV per cell
Density   3.64 g/cm3

---

Stability ranking, top and bottom: <b> is the most stable and <a> is the least stable.

---

<a>
A plane-wave DFT calculation with PBE-GGA was carried out for a geometry-optimized HPdSCl2 structure.

Lattice parameters (Å, degrees): 5.032 5.032 3.205 90.00 90.00 90.00
Site moments in Bohr magnetons follow the coordinates.
Fractional coordinates of all 5 atoms:
H 0.000 0.000 0.000  -0.01
S 0.000 0.000 0.500  0.52
Pd 0.500 0.500 0.500  0.80
Cl 0.000 0.500 0.000  0.26
Cl 0.500 0.000 0.000  0.26

## Properties
N(E_F)   5.5 states/eV per cell
Density   4.31 g/cm3

---

<b>
A plane-wave DFT calculation with PBE-GGA was carried out for a geometry-optimized HPdSCl2 structure.

Lattice parameters (Å, degrees): 5.004 5.004 4.528 90.00 90.00 90.00
Site moments in Bohr magnetons follow the coordinates.
Fractional coordinates of all 5 atoms:
H 0.500 0.500 0.500  0.36
S 0.000 0.000 0.500  0.44
Pd 0.000 0.000 0.000  0.11
Cl 0.000 0.500 0.000  0.05
Cl 0.500 0.000 0.000  0.05

## Properties
N(E_F)   4.4 states/eV per cell
Density   3.08 g/cm3

---

Stability ranking, top and bottom: <b> is the most stable and <a> is the least stable.

---

<a>
A plane-wave DFT calculation with PBE-GGA was carried out for a geometry-optimized SiTeHPdCl structure.

Lattice parameters (Å, degrees): 3.854 4.165 9.861 82.67 82.15 62.67
Fractional coordinates of all 5 atoms:
Si 0.549 0.078 0.240
Te 0.864 0.298 0.449
H 0.912 0.382 0.788
Pd 0.213 0.702 0.304
Cl 0.077 0.521 0.851

## Properties
N(E_F)   0.4 states/eV per cell
Density   3.57 g/cm3

---

<b>
A plane-wave DFT calculation with PBE-GGA was carried out for a geometry-optimized SiTeHPdCl structure.

Lattice parameters (Å, degrees): 3.281 4.334 8.627 90.23 100.70 112.11
Fractional coordinates of all 5 atoms:
Si 0.636 0.411 0.925
Te 0.793 0.056 0.585
H 0.440 0.020 0.923
Pd 0.178 0.648 0.770
Cl 0.830 0.563 0.165

## Properties
N(E_F)   1.0 states/eV per cell
Density   4.45 g/cm3

---

<c>
A plane-wave DFT calculation with PBE-GGA was carried out for a geometry-optimized SiTeHPdCl structure.

Lattice parameters (Å, degrees): 4.055 4.396 7.017 77.53 76.38 86.24
Fractional coordinates of all 5 atoms:
Si 0.680 0.786 0.871
Te 0.848 0.280 0.600
H 0.996 0.618 0.973
Pd 0.276 0.536 0.774
Cl 0.500 0.922 0.149

## Properties
N(E_F)   0.0 states/eV per cell
Density   4.18 g/cm3

---

<d>
A plane-wave DFT calculation with PBE-GGA was carried out for a geometry-optimized SiTeHPdCl structure.

Lattice parameters (Å, degrees): 3.974 4.666 7.347 72.43 74.66 64.76
Fractional coordinates of all 5 atoms:
Si 0.839 0.707 0.905
Te 0.159 0.372 0.594
H 0.926 0.392 0.048
Pd 0.417 0.740 0.710
Cl 0.593 0.997 0.111

## Properties
N(E_F)   1.1 states/eV per cell
Density   4.27 g/cm3

---

Stability ranking, top and bottom: <b> is the most stable and <a> is the least stable.